Entry 1:
CaW2Se | PBE | relaxed

Lattice parameters (Å, degrees): 4.5877 4.5877 6.1960 79.65 79.65 42.00
With the nearest neighbours (Å) after each atom.
Sites, in units of the cell vectors:
Se1 0.7366 0.7366 0.8168  5 W 2.72-2.76
W1 0.9981 0.9981 0.0168  3 W 2.58-2.62, 3 Se 2.73-2.76
W2 0.2682 0.2682 0.1545  3 W 2.58-2.62, 2 Se 2.72
Ca1 0.4971 0.4971 0.5119  3 Se 3.04-3.10, 3 W 3.23-3.32, 2 Ca 3.29

SG   No. 8
Raw formation energy   1.40 eV/f.u.
Magnetic moment   0.00 μB/atom


Entry 2:
CaWSe2 | PBE | relaxed

Lattice parameters (Å, degrees): 9.4240 9.4240 9.4240 21.45 21.45 21.45
With the nearest neighbours (Å) after each atom.
Sites, in units of the cell vectors:
Se1 0.8921 0.8921 0.8921  3 W 2.60
Se2 0.1079 0.1079 0.1079  3 W 2.60
Ca1 0.0000 0.0000 0.0000  2 Se 2.98
W1 0.5000 0.5000 0.5000  6 Se 2.60

SG   No. 166
Raw formation energy   -0.80 eV/f.u.
Magnetic moment   0.00 μB/atom
Energy above the lowest structure with this stoichiometry   306 meV per atom


Entry 3:
CaWSe2 | PBE | relaxed

Lattice parameters (Å, degrees): 6.4891 6.4891 6.4891 36.32 36.32 36.32
With the nearest neighbours (Å) after each atom.
Sites, in units of the cell vectors:
Se1 0.5134 0.5134 0.5134  3 W 2.66, 3 Ca 2.92
Se2 0.9866 0.9866 0.9866  3 W 2.66, 3 Ca 2.92
W1 0.2500 0.2500 0.2500  6 Se 2.66
Ca1 0.7500 0.7500 0.7500  6 Se 2.92

SG   No. 166
Raw formation energy   -2.03 eV/f.u.
Magnetic moment   0.50 μB/atom
Energy above the lowest structure with this stoichiometry   0 meV per atom


Entry 4:
CaW2Se | PBE | relaxed

Lattice parameters (Å, degrees): 5.5255 5.5255 5.5255 144.81 122.90 68.87
With the nearest neighbours (Å) after each atom.
Sites, in units of the cell vectors:
W1 0.9945 0.9945 0.0000  2 W 2.52, 2 Se 2.69
W2 0.7871 0.2871 0.5000  2 W 2.52
Ca1 0.4923 0.4923 0.0000  2 Se 2.95, 8 W 3.12-3.24
Se1 0.2260 0.7260 0.5000  2 W 2.69, 2 Ca 2.95

SG   No. 44
Raw formation energy   2.27 eV/f.u.
Magnetic moment   0.00 μB/atom


Entry 5:
CaW2Se | PBE | relaxed

Lattice parameters (Å, degrees): 3.3365 3.3365 7.2547 90.00 90.00 90.00
With the nearest neighbours (Å) after each atom.
Sites, in units of the cell vectors:
Se1 0.5000 0.5000 0.7869  5 W 2.90, 4 Ca 3.12
W1 0.0000 0.0000 0.0199  4 W 2.65, 4 Se 2.90
W2 0.5000 0.5000 0.1869  4 W 2.65, 1 Se 2.90
Ca1 0.0000 0.0000 0.5063  4 Se 3.12, 4 W 3.31, 4 Ca 3.34

SG   No. 99
Raw formation energy   0.74 eV/f.u.
Magnetic moment   0.00 μB/atom


Entry 6:
CaW2Se | PBE | relaxed

Lattice parameters (Å, degrees): 5.3088 3.8236 3.8236 90.00 90.00 90.00
With the nearest neighbours (Å) after each atom.
Sites, in units of the cell vectors:
W1 0.0000 0.0000 0.0000  4 W 2.70
W2 0.0000 0.5000 0.5000  4 W 2.70
Se1 0.5000 0.0000 0.5000  4 Ca 2.70
Ca1 0.5000 0.5000 0.0000  4 Se 2.70

SG   No. 123
Raw formation energy   2.13 eV/f.u.
Magnetic moment   0.00 μB/atom


Entry 7:
CaWSe2 | PBE | relaxed

Lattice parameters (Å, degrees): 7.1064 7.1064 7.1064 148.38 148.38 45.32
With the nearest neighbours (Å) after each atom.
Sites, in units of the cell vectors:
Se1 0.0000 0.0000 0.0000  4 W 2.74
Se2 0.2500 0.7500 0.5000  4 Ca 2.74
Ca1 0.7500 0.2500 0.5000  4 Se 2.74
W1 0.5000 0.5000 0.0000  4 Se 2.74

SG   No. 119
Raw formation energy   0.28 eV/f.u.
Magnetic moment   0.92 μB/atom
Energy above the lowest structure with this stoichiometry   577 meV per atom


Entry 8:
CaWSe2 | PBE | relaxed

Lattice parameters (Å, degrees): 3.2078 3.2078 9.1073 90.00 90.00 89.99
With the nearest neighbours (Å) after each atom.
Sites, in units of the cell vectors:
Se1 0.5000 0.5000 0.3332  4 W 2.57
Se2 0.0000 0.0000 0.9581  4 Ca 3.00, 4 Se 3.21
W1 0.0000 0.0000 0.4662  4 Se 2.57
Ca1 0.5000 0.5000 0.7423  4 Se 3.00, 4 Ca 3.21

SG   No. 99
Raw formation energy   -0.59 eV/f.u.
Magnetic moment   0.00 μB/atom
Energy above the lowest structure with this stoichiometry   361 meV per atom


Entry 9:
CaW2Se | PBE | relaxed

Lattice parameters (Å, degrees): 5.6603 5.6603 2.8483 90.00 90.00 123.02
With the nearest neighbours (Å) after each atom.
Sites, in units of the cell vectors:
W1 0.0000 0.0000 0.0000  4 W 2.70-2.85
W2 0.5000 0.5000 0.0000  4 W 2.70-2.85
Se1 0.0000 0.5000 0.5000  2 Ca 2.70, 2 Se 2.85
Ca1 0.5000 0.0000 0.5000  2 Se 2.70, 2 Ca 2.85

SG   No. 65
Raw formation energy   3.54 eV/f.u.
Magnetic moment   0.00 μB/atom


Entry 10:
CaW2Se | PBE | relaxed

Lattice parameters (Å, degrees): 3.8310 3.8310 11.4091 80.33 80.33 90.00
With the nearest neighbours (Å) after each atom.
Sites, in units of the cell vectors:
W1 0.8750 0.3580 0.7500  4 W 2.62-2.80
W2 0.6420 0.6250 0.2500  4 W 2.62-2.80
W3 0.3750 0.8920 0.7500  4 W 2.62-2.80
W4 0.1080 0.1250 0.2500  4 W 2.62-2.80
Se1 0.7500 0.2500 0.5000  4 Ca 2.71
Se2 0.0000 0.0000 0.0000  4 Ca 2.71
Ca1 0.5000 0.5000 0.0000  4 Se 2.71
Ca2 0.2500 0.7500 0.5000  4 Se 2.71

SG   No. 122
Raw formation energy   2.31 eV/f.u.
Magnetic moment   0.00 μB/atom


Entry 11:
CaWSe2 | PBE | relaxed

Lattice parameters (Å, degrees): 4.6986 4.6986 4.6986 60.00 60.00 60.00
With the nearest neighbours (Å) after each atom.
Sites, in units of the cell vectors:
Se1 0.7500 0.7500 0.7500  4 W 2.88, 4 Ca 2.88
Se2 0.2500 0.2500 0.2500  4 W 2.88, 4 Ca 2.88
Ca1 0.0000 0.0000 0.0000  8 Se 2.88
W1 0.5000 0.5000 0.5000  8 Se 2.88

SG   No. 225
Raw formation energy   -1.31 eV/f.u.
Magnetic moment   0.00 μB/atom
Energy above the lowest structure with this stoichiometry   179 meV per atom


Entry 12:
CaWSe2 | PBE | relaxed

Lattice parameters (Å, degrees): 5.8725 5.8725 7.7141 67.63 67.63 90.00
With the nearest neighbours (Å) after each atom.
Sites, in units of the cell vectors:
W1 0.0000 0.0000 0.0000  4 Se 2.45
W2 0.7500 0.2500 0.5000  4 Se 2.45
Se1 0.8750 0.9381 0.7500  2 W 2.45
Se2 0.6881 0.1250 0.2500  2 W 2.45
Se3 0.0619 0.6250 0.2500  2 W 2.45
Se4 0.3750 0.3119 0.7500  2 W 2.45
Ca1 0.5000 0.5000 0.0000  4 Se 2.86
Ca2 0.2500 0.7500 0.5000  4 Se 2.86

SG   No. 122
Raw formation energy   -1.03 eV/f.u.
Magnetic moment   0.00 μB/atom
Energy above the lowest structure with this stoichiometry   250 meV per atom


Entry 13:
CaWSe2 | PBE | relaxed

Lattice parameters (Å, degrees): 5.5555 5.5555 5.5555 142.64 115.57 76.91
With the nearest neighbours (Å) after each atom.
Sites, in units of the cell vectors:
Se1 0.5469 0.5469 0.0000  2 W 2.51
Se2 0.9531 0.9531 0.0000  2 W 2.51
W1 0.7500 0.2500 0.5000  4 Se 2.51
Ca1 0.2500 0.7500 0.5000  8 Se 3.14-3.45, 4 W 3.46

SG   No. 71
Raw formation energy   -1.12 eV/f.u.
Magnetic moment   0.19 μB/atom
Energy above the lowest structure with this stoichiometry   227 meV per atom


Entry 14:
CaW2Se | PBE | relaxed

Lattice parameters (Å, degrees): 6.1809 6.1809 4.4116 69.16 69.16 29.60
With the nearest neighbours (Å) after each atom.
Sites, in units of the cell vectors:
W1 0.4737 0.4737 0.5264  4 W 2.77-2.78, 2 Se 2.95
W2 0.0263 0.0263 0.9736  4 W 2.77-2.78, 2 Se 2.95
Se1 0.7500 0.7500 0.7500  4 Ca 2.71, 4 W 2.95
Ca1 0.2500 0.2500 0.2500  4 Se 2.71

SG   No. 12
Raw formation energy   1.55 eV/f.u.
Magnetic moment   0.00 μB/atom


Entry 15:
CaW2Se | PBE | relaxed

Lattice parameters (Å, degrees): 3.1033 3.1033 8.7592 90.00 90.00 111.63
With the nearest neighbours (Å) after each atom.
Sites, in units of the cell vectors:
W1 0.0000 0.0000 0.0040  2 W 2.55, 2 Se 2.73
W2 0.5000 0.5000 0.2164  2 W 2.55
Se1 0.5000 0.5000 0.7649  2 W 2.73, 2 Ca 2.80
Ca1 0.0000 0.0000 0.5147  2 Se 2.80, 4 Ca 3.10

SG   No. 35
Raw formation energy   1.54 eV/f.u.
Magnetic moment   0.00 μB/atom


Entry 16:
CaWSe2 | PBE | relaxed

Lattice parameters (Å, degrees): 4.6609 4.6609 6.3656 73.87 73.87 42.70
With the nearest neighbours (Å) after each atom.
Sites, in units of the cell vectors:
Ca1 0.2222 0.2222 0.2400  5 Se 2.95-3.12
Se1 0.9917 0.9917 0.9798  2 W 2.60
Se2 0.7964 0.7964 0.6091  3 W 2.50-2.57
W1 0.4897 0.4897 0.6711  5 Se 2.50-2.60

SG   No. 8
Raw formation energy   -1.85 eV/f.u.
Magnetic moment   0.00 μB/atom
Energy above the lowest structure with this stoichiometry   45 meV per atom


Entry 17:
CaWSe2 | PBE | relaxed

Lattice parameters (Å, degrees): 3.4875 3.4541 7.1859 90.00 90.00 90.00
With the nearest neighbours (Å) after each atom.
Sites, in units of the cell vectors:
Ca1 0.5000 0.7500 0.7500  8 Se 3.01
W1 0.5000 0.2500 0.2500  4 Se 2.55
Se1 0.0000 0.2501 0.5083  2 W 2.55
Se2 0.0000 0.2499 0.9917  2 W 2.55

SG   No. 47
Raw formation energy   -1.30 eV/f.u.
Magnetic moment   0.00 μB/atom
Energy above the lowest structure with this stoichiometry   182 meV per atom


Entry 18:
CaWSe4 | PBE | relaxed

Lattice parameters (Å, degrees): 5.8080 5.8080 5.8080 60.00 60.00 60.00
With the nearest neighbours (Å) after each atom.
Sites, in units of the cell vectors:
Se1 0.8711 0.3763 0.3763  6 Se 2.87-2.93
Se2 0.3763 0.3763 0.8711  6 Se 2.87-2.93
Se3 0.3763 0.8711 0.3763  6 Se 2.87-2.93
Se4 0.3763 0.3763 0.3763  6 Se 2.87-2.93
W1 0.7500 0.7500 0.7500  12 Se 3.40, 4 Ca 3.56
Ca1 0.0000 0.0000 0.0000  12 Se 3.41, 4 W 3.56

SG   No. 216
Raw formation energy   4.55 eV/f.u.
Magnetic moment   0.81 μB/atom


Entry 19:
CaW2Se | PBE | relaxed

Lattice parameters (Å, degrees): 3.2470 3.4981 7.5641 76.64 90.00 90.00
With the nearest neighbours (Å) after each atom.
Sites, in units of the cell vectors:
W1 0.5000 0.2157 0.1933  4 W 2.65
W2 0.0000 0.7941 0.0366  2 Se 2.64, 4 W 2.65
Ca1 0.0000 0.5542 0.5168  4 Se 2.95, 2 Ca 3.25
Se1 0.5000 0.9360 0.7533  2 W 2.64, 4 Ca 2.95

SG   No. 38
Raw formation energy   0.26 eV/f.u.
Magnetic moment   0.00 μB/atom


Entry 20:
CaWSe2 | PBE | relaxed

Lattice parameters (Å, degrees): 3.7212 3.7213 6.1969 90.00 90.00 90.00
With the nearest neighbours (Å) after each atom.
Sites, in units of the cell vectors:
Se1 0.5000 0.5000 0.3331  4 W 2.76, 1 Ca 2.92
Se2 0.0000 0.0000 0.8944  1 W 2.64, 4 Ca 2.69
Ca1 0.5000 0.5000 0.8049  5 Se 2.69-2.92
W1 0.0000 0.0000 0.4676  5 Se 2.64-2.76

SG   No. 99
Raw formation energy   -1.08 eV/f.u.
Magnetic moment   0.24 μB/atom
Energy above the lowest structure with this stoichiometry   237 meV per atom